Here is Sr2SbSO after structural relaxation from Alexandria via LeMat-Bulk. Energies are from PBE-GGA.

The structure in extended XYZ format:
```
5
Lattice="6.179 0.000 0.000 0.000 6.179 0.000 0.000 0.000 5.010" Properties=species:S:1:pos:R:3 pbc="T T T"
Sr 0.000 3.089 0.000
Sr 3.089 0.000 0.000
Sb 0.000 0.000 0.000
S 0.000 0.000 2.505
O 3.089 3.089 2.505
```

Computed properties:
Its uncorrected formation energy is -0.198 eV per atom. The density of states at the Fermi level comes out at 8.7 states/eV/f.u. As for the offset from the most stable computed form: 0.9329 eV per atom. The uncorrected energy is -3.51 eV per atom. For the volume, the calculation gives 191 Å³ per cell.



Here is ZrAl2Zn after structural relaxation from Alexandria via LeMat-Bulk. Energies are from PBE-GGA.

The structure in extended XYZ format:
```
4
Lattice="4.110 0.000 0.000 0.000 4.110 0.000 0.000 0.000 4.024" Properties=species:S:1:pos:R:3 pbc="T T T"
Zr 0.000 0.000 0.000
Al 0.000 2.055 2.012
Al 2.055 0.000 2.012
Zn 2.055 2.055 0.000
```

Computed properties:
The density of states at the Fermi level comes out at 0.8 states/eV/f.u. The uncorrected energy is -4.80 eV per atom. For the volume, the calculation gives 68 Å³ per cell.



Here is BeAl3Si after structural relaxation from Alexandria via LeMat-Bulk. Energies are from PBE-GGA.

The structure in extended XYZ format:
```
5
Lattice="4.337 0.000 0.000 0.000 4.337 0.000 0.000 0.000 4.337" Properties=species:S:1:pos:R:3 pbc="T T T"
Be 0.000 0.000 0.000
Al 0.000 0.000 2.169
Al 0.000 2.169 0.000
Al 2.169 0.000 0.000
Si 2.169 2.169 2.169
```

Computed properties:
Its uncorrected formation energy is 0.491 eV per atom. The density of states at the Fermi level comes out at 2.4 states/eV/f.u. As for the offset from the most stable computed form: 0.0000 eV per atom. The uncorrected energy is -3.58 eV per atom. For the volume, the calculation gives 82 Å³ per cell.



Here is Ba3NiH after structural relaxation from Alexandria via LeMat-Bulk. Energies are from PBE-GGA.

The structure in extended XYZ format:
```
5
Lattice="5.508 0.000 0.000 0.000 5.508 0.000 0.000 0.000 5.508" Properties=species:S:1:pos:R:3 pbc="T T T"
Ba 0.000 0.000 2.754
Ba 0.000 2.754 0.000
Ba 2.754 0.000 0.000
Ni 2.754 2.754 2.754
H 0.000 0.000 0.000
```

Computed properties:
The density of states at the Fermi level comes out at 4.1 states/eV/f.u. As for the offset from the most stable computed form: 0.2343 eV per atom. The uncorrected energy is -2.81 eV per atom. For the volume, the calculation gives 167 Å³ per cell.



Here is Tb2PrSi2Pt7 after structural relaxation from Alexandria via LeMat-Bulk. Energies are from PBE-GGA.

The structure in extended XYZ format:
```
12
Lattice="2.910 -2.873 0.000 2.910 2.873 0.000 -2.097 0.000 13.729" Properties=species:S:1:pos:R:3 pbc="T T T"
Tb -0.082 0.000 4.933
Tb 3.805 0.000 8.796
Pr 0.000 0.000 0.000
Si 0.796 0.000 10.157
Si 2.928 0.000 3.573
Pt 1.469 1.433 2.312
Pt 0.948 0.000 7.840
Pt 2.254 1.433 11.417
Pt 2.910 0.000 0.000
Pt 1.469 -1.433 2.312
Pt 2.775 0.000 5.889
Pt 2.254 -1.433 11.417
```

Computed properties:
Its uncorrected formation energy is -1.049 eV per atom. The density of states at the Fermi level comes out at 5.5 states/eV/f.u. The uncorrected energy is -6.65 eV per atom. For the volume, the calculation gives 230 Å³ per cell.



Here is MnBeSe2 after structural relaxation from Alexandria via LeMat-Bulk. Energies are from PBE-GGA.

The structure in extended XYZ format:
```
8
Lattice="-3.198 3.198 2.887 3.198 -3.198 2.887 3.198 3.198 -2.887" Properties=species:S:1:pos:R:3 pbc="T T T"
Mn 0.000 0.000 1.443
Mn 0.000 0.000 4.330
Be 3.198 0.000 1.443
Be 0.000 3.198 1.443
Se 4.416 1.219 0.000
Se 1.219 1.979 0.000
Se 1.979 1.219 2.887
Se -1.219 1.979 2.887
```

Computed properties:
Its uncorrected formation energy is 0.207 eV per atom. The density of states at the Fermi level comes out at 6.9 states/eV/f.u. The uncorrected energy is -4.76 eV per atom. For the volume, the calculation gives 118 Å³ per cell.



Here is LaMgTi2Al after structural relaxation from Alexandria via LeMat-Bulk. Energies are from PBE-GGA.

The structure in extended XYZ format:
```
5
Lattice="5.031 0.000 0.000 0.000 5.031 0.000 0.000 0.000 4.898" Properties=species:S:1:pos:R:3 pbc="T T T"
La 0.000 0.000 0.000
Mg 2.515 2.515 2.449
Ti 0.000 2.515 2.449
Ti 2.515 0.000 2.449
Al 2.515 2.515 0.000
```

Computed properties:
The density of states at the Fermi level comes out at 5.5 states/eV/f.u. The uncorrected energy is -4.48 eV per atom. For the volume, the calculation gives 124 Å³ per cell.



Here is MgAsIr3 after structural relaxation from Alexandria via LeMat-Bulk. Energies are from PBE-GGA.

The structure in extended XYZ format:
```
5
Lattice="4.571 0.000 0.000 0.000 4.571 0.000 0.000 0.000 4.571" Properties=species:S:1:pos:R:3 pbc="T T T"
Mg 0.000 0.000 0.000
As 2.286 2.286 2.286
Ir 0.000 2.286 2.286
Ir 2.286 0.000 2.286
Ir 2.286 2.286 0.000
```

Computed properties:
The density of states at the Fermi level comes out at 0.8 states/eV/f.u. As for the offset from the most stable computed form: 0.0000 eV per atom. The uncorrected energy is -5.93 eV per atom. For the volume, the calculation gives 96 Å³ per cell.



Here is SmCoCuSn after structural relaxation from Alexandria via LeMat-Bulk. Energies are from PBE-GGA.

The structure in extended XYZ format:
```
4
Lattice="0.000 3.321 3.321 3.321 0.000 3.321 3.321 3.321 0.000" Properties=species:S:1:pos:R:3 pbc="T T T"
Sm 0.000 0.000 0.000
Co 1.661 1.661 1.661
Cu 4.982 4.982 4.982
Sn 3.321 3.321 3.321
```

Computed properties:
The density of states at the Fermi level comes out at 2.9 states/eV/f.u. The uncorrected energy is -5.19 eV per atom. For the volume, the calculation gives 73 Å³ per cell.



Here is CsAlCu3 after structural relaxation from Alexandria via LeMat-Bulk. Energies are from PBE-GGA.

The structure in extended XYZ format:
```
5
Lattice="4.945 0.000 0.000 0.000 4.945 0.000 0.000 0.000 4.945" Properties=species:S:1:pos:R:3 pbc="T T T"
Cs 0.000 0.000 0.000
Al 2.473 2.473 2.473
Cu 0.000 2.473 2.473
Cu 2.473 0.000 2.473
Cu 2.473 2.473 0.000
```

Computed properties:
The density of states at the Fermi level comes out at 2.1 states/eV/f.u. As for the offset from the most stable computed form: 0.0000 eV per atom. The uncorrected energy is -2.92 eV per atom. For the volume, the calculation gives 121 Å³ per cell.



Here is BeZn2As after structural relaxation from Alexandria via LeMat-Bulk. Energies are from PBE-GGA.

The structure in extended XYZ format:
```
4
Lattice="1.509 0.871 7.629 -1.509 0.871 7.629 0.000 -1.743 7.629" Properties=species:S:1:pos:R:3 pbc="T T T"
Be 0.000 0.000 0.000
Zn 0.000 0.000 5.899
Zn 0.000 0.000 11.514
As 0.000 0.000 16.929
```

Computed properties:
The density of states at the Fermi level comes out at 1.3 states/eV/f.u. As for the offset from the most stable computed form: 0.0741 eV per atom. The uncorrected energy is -2.48 eV per atom. For the volume, the calculation gives 60 Å³ per cell.



Here is La2HfNbO after structural relaxation from Alexandria via LeMat-Bulk. Energies are from PBE-GGA.

The structure in extended XYZ format:
```
5
Lattice="5.644 0.000 0.000 0.000 5.644 0.000 0.000 0.000 4.912" Properties=species:S:1:pos:R:3 pbc="T T T"
La 0.000 2.822 0.000
La 2.822 0.000 0.000
Hf 0.000 0.000 2.456
Nb 0.000 0.000 0.000
O 2.822 2.822 2.456
```

Computed properties:
Its uncorrected formation energy is 0.676 eV per atom. The density of states at the Fermi level comes out at 6.7 states/eV/f.u. The uncorrected energy is -6.29 eV per atom. For the volume, the calculation gives 156 Å³ per cell.



Here is LuPuBi after structural relaxation from Alexandria via LeMat-Bulk. Energies are from PBE-GGA.

The structure in extended XYZ format:
```
3
Lattice="-2.027 2.027 5.207 2.027 -2.027 5.207 2.027 2.027 -5.207" Properties=species:S:1:pos:R:3 pbc="T T T"
Lu 0.000 0.000 0.000
Pu 0.000 0.000 7.154
Bi 0.000 0.000 3.686
```

Computed properties:
The density of states at the Fermi level comes out at 8.4 states/eV/f.u. As for the offset from the most stable computed form: 0.0000 eV per atom. The uncorrected energy is -7.79 eV per atom. For the volume, the calculation gives 86 Å³ per cell.